! PBE SiH12C2N2F6, optimized geometry; values from VASP
&SYSTEM
  ibrav = 0, nat = 46, ntyp = 5
/
ATOMIC_SPECIES
Si 28.09 Si.upf
H 1.01 H.upf
C 12.01 C.upf
N 14.01 N.upf
F 19.00 F.upf
CELL_PARAMETERS angstrom
4.8810 -4.8286 0.0000
4.8810 4.8286 0.0000
-1.0407 0.0000 9.6152
ATOMIC_POSITIONS crystal
Si 0.2231 0.7769 0.7500
Si 0.7769 0.2231 0.2500
H 0.0179 0.2473 0.5159
H 0.1086 0.3345 0.9543
H 0.1282 0.3927 0.6444
H 0.1355 0.1495 0.6510
H 0.1495 0.1355 0.1510
H 0.2473 0.0179 0.0159
H 0.2708 0.4497 0.0887
H 0.3233 0.3677 0.4406
H 0.3345 0.1086 0.4543
H 0.3677 0.3233 0.9406
H 0.3927 0.1282 0.1444
H 0.4497 0.2708 0.5887
H 0.5503 0.7292 0.4113
H 0.6073 0.8718 0.8556
H 0.6323 0.6767 0.0594
H 0.6655 0.8914 0.5457
H 0.6767 0.6323 0.5594
H 0.7292 0.5503 0.9113
H 0.7527 0.9821 0.9841
H 0.8505 0.8645 0.8490
H 0.8645 0.8505 0.3490
H 0.8718 0.6073 0.3556
H 0.8914 0.6655 0.0457
H 0.9821 0.7527 0.4841
C 0.2514 0.3251 0.0118
C 0.3251 0.2514 0.5118
C 0.6749 0.7486 0.4882
C 0.7486 0.6749 0.9882
N 0.1419 0.2609 0.5851
N 0.2609 0.1419 0.0851
N 0.7391 0.8581 0.9149
N 0.8581 0.7391 0.4149
F 0.0407 0.6045 0.7340
F 0.0412 0.9588 0.7500
F 0.2136 0.7778 0.5715
F 0.2222 0.7864 0.9285
F 0.3955 0.9593 0.7660
F 0.3978 0.6022 0.7500
F 0.6022 0.3978 0.2500
F 0.6045 0.0407 0.2340
F 0.7778 0.2136 0.0715
F 0.7864 0.2222 0.4285
F 0.9588 0.0412 0.2500
F 0.9593 0.3955 0.2660
! * E_tot: -5.23 eV/atom
! * relative energy among the computed polymorphs: 3 meV/atom
! * space-group type: C2/c
! * total moment: 0.321 μB per cell